The following is a PBE-GGA calculation of crystalline AcZr2NpO8 at its relaxed geometry, from Alexandria.

Unit cell a=7.3651 b=7.1835 c=6.9579 alpha=90.00 beta=90.04 gamma=90.00
Space group C2/m (No. 12)
Unique sites:
Ac  0.0000  0.0000  0.0000
Zr  0.0007  0.5000  0.2538
Np  0.0000  0.0000  0.5000
O  0.9996  0.2062  0.2842
O  0.1695  0.5000  0.0004
O  0.1913  0.5000  0.4998

Results
total moment	2.0	μB per formula unit
energy	-9.285	eV per atom

The following is a PBE-GGA calculation of crystalline AcNpP3 at its relaxed geometry, from Alexandria.

Unit cell a=5.0790 b=5.0790 c=5.0790 alpha=90.00 beta=90.00 gamma=90.00
Space group Pm-3m (No. 221)
Unique sites:
Ac  0.0000  0.0000  0.0000
Np  0.5000  0.5000  0.5000
P  0.0000  0.5000  0.5000

Results
total moment	1.2	μB per formula unit
energy relative to the elements	-0.617	eV per atom
energy	-7.273	eV per atom

The following is a PBE-GGA calculation of crystalline AcNpP at its relaxed geometry, from Alexandria.

Unit cell a=3.7026 b=3.7026 c=12.0760 alpha=90.00 beta=90.00 gamma=90.00
Space group I4mm (No. 107)
Unique sites:
Ac  0.0000  0.0000  0.0000
Np  0.0000  0.0000  0.2630
P  0.0000  0.0000  0.6660

Results
total moment	4.7	μB per formula unit
energy above the most stable polymorph in this dataset	13.5	kJ/mol of atoms
energy relative to the elements	-0.285	eV per atom
energy	-7.771	eV per atom

The following is a PBE-GGA calculation of crystalline AcNpP at its relaxed geometry, from Alexandria.

Unit cell a=7.6971 b=12.6091 c=13.5528 alpha=90.00 beta=90.00 gamma=90.00
Space group Fddd (No. 70, origin choice 2)
Unique sites:
Ac  0.0000  0.0000  0.0000
Np  0.1250  0.0255  0.6250
P  0.1250  0.1250  0.4361

Results
total moment	3.9	μB per formula unit
energy above the most stable polymorph in this dataset	0.0	kJ/mol of atoms
energy relative to the elements	-0.424	eV per atom
energy	-7.911	eV per atom

The following is a PBE-GGA calculation of crystalline AcNpP2Pd2 at its relaxed geometry, from Alexandria.

Unit cell a=4.2563 b=4.2563 c=8.0044 alpha=90.00 beta=90.00 gamma=120.00
Space group P-3m1 (No. 164)
Unique sites:
Ac  0.0000  0.0000  0.0000
Np  0.0000  0.0000  0.5000
P  0.3333  0.6667  0.2832
Pd  0.3333  0.6667  0.7402

Results
total moment	4.0	μB per formula unit
energy relative to the elements	-0.947	eV per atom
energy	-7.323	eV per atom

The following is a PBE-GGA calculation of crystalline Ac2NpP3Pt12 at its relaxed geometry, from Alexandria.

Unit cell a=8.2599 b=8.2599 c=19.4679 alpha=90.00 beta=90.00 gamma=120.00
Space group R-3m (No. 166, hexagonal axes)
Unique sites:
Ac  0.0000  0.0000  0.1057
Np  0.0000  0.0000  0.5000
P  0.0000  0.5000  0.0000
Pt  0.0137  0.5068  0.8795
Pt  0.0423  0.5211  0.3583

Results
total moment	2.8	μB per formula unit
energy relative to the elements	-0.450	eV per atom
energy	-6.554	eV per atom

Copy entry 5 word for word.
The following is a PBE-GGA calculation of crystalline AcNpP2Pd2 at its relaxed geometry, from Alexandria.

Unit cell a=4.2563 b=4.2563 c=8.0044 alpha=90.00 beta=90.00 gamma=120.00
Space group P-3m1 (No. 164)
Unique sites:
Ac  0.0000  0.0000  0.0000
Np  0.0000  0.0000  0.5000
P  0.3333  0.6667  0.2832
Pd  0.3333  0.6667  0.7402

Results
total moment	4.0	μB per formula unit
energy relative to the elements	-0.947	eV per atom
energy	-7.323	eV per atom

What did the third record say?
The following is a PBE-GGA calculation of crystalline AcNpP at its relaxed geometry, from Alexandria.

Unit cell a=3.7026 b=3.7026 c=12.0760 alpha=90.00 beta=90.00 gamma=90.00
Space group I4mm (No. 107)
Unique sites:
Ac  0.0000  0.0000  0.0000
Np  0.0000  0.0000  0.2630
P  0.0000  0.0000  0.6660

Results
total moment	4.7	μB per formula unit
energy above the most stable polymorph in this dataset	13.5	kJ/mol of atoms
energy relative to the elements	-0.285	eV per atom
energy	-7.771	eV per atom